No. 1
DFT (PBE-GGA) results for crystalline Rb2Pb4O at its relaxed geometry.

The structure belongs to space group I4/mmm (No. 139); the cell edges are 5.345, 5.345 and 19.155 Å and the angles 90.00°, 90.00° and 90.00°. Symmetry generates all atoms from Rb at (0.000, 0.000, 0.166), Pb at (0.000, 0.000, 0.380), Pb at (0.000, 0.500, 0.000) and O at (0.000, 0.000, 0.500).

Its total moment is 1.19 Bohr magnetons per cell. Its raw formation energy is -0.127 eV/atom. The total energy is -45.2 eV for the cell shown.


No. 2
DFT (PBE-GGA) results for crystalline Sm3Al3Hg2Ru at its relaxed geometry.

The structure belongs to space group P-62m (No. 189); the cell edges are 7.2420, 7.2420 and 4.4680 Å and the angles 90.00°, 90.00° and 120.00°. Symmetry generates all atoms from Sm at (0.0000, 0.3968, 0.0000), Al at (0.0000, 0.7822, 0.5000), Hg at (0.3333, 0.6667, 0.5000) and Ru at (0.0000, 0.0000, 0.0000).

Its total moment is 0.00 Bohr magnetons per cell. The total energy is -39.6 eV for the cell shown.


No. 3
DFT (PBE-GGA) results for crystalline Li2TaPb at its relaxed geometry.

The structure belongs to space group F-43m (No. 216); the cell edges are 6.742, 6.742 and 6.742 Å and the angles 90.00°, 90.00° and 90.00°. Symmetry generates all atoms from Li at (0.000, 0.000, 0.000), Li at (0.250, 0.250, 0.250), Ta at (0.250, 0.250, 0.750) and Pb at (0.000, 0.000, 0.500).

Its total moment is 5.49 Bohr magnetons per cell. The total energy is -70.2 eV for the cell shown.


No. 4
DFT (PBE-GGA) results for crystalline Sc2PbBr at its relaxed geometry.

The structure belongs to space group R-3m (No. 166, hexagonal axes); the cell edges are 3.4953, 3.4953 and 26.9625 Å and the angles 90.00°, 90.00° and 120.00°. Symmetry generates all atoms from Sc at (0.0000, 0.0000, 0.2442), Pb at (0.0000, 0.0000, 0.0000) and Br at (0.0000, 0.0000, 0.5000).

Its total moment is 0.01 Bohr magnetons per cell. The value obtained for the relative energy among the computed polymorphs is 120.6 meV/atom. Its raw formation energy is -0.487 eV/atom. The total energy is -60.0 eV for the cell shown.


No. 5
DFT (PBE-GGA) results for crystalline Al3Os2 at its relaxed geometry.

The structure belongs to space group P-3m1 (No. 164); the cell edges are 4.2369, 4.2369 and 5.1327 Å and the angles 90.00°, 90.00° and 120.00°. Symmetry generates all atoms from Al at (0.0000, 0.0000, 0.0000), Al at (0.3333, 0.6667, 0.3674) and Os at (0.3333, 0.6667, 0.8574).

Its total moment is 0.00 Bohr magnetons per cell. The value obtained for the relative energy among the computed polymorphs is 255.1 meV/atom. The total energy is -34.9 eV for the cell shown.


No. 6
DFT (PBE-GGA) results for crystalline BeNi2Se at its relaxed geometry.

The structure belongs to space group I4/mmm (No. 139); the cell edges are 3.736, 3.736 and 6.643 Å and the angles 90.00°, 90.00° and 90.00°. Symmetry generates all atoms from Be at (0.000, 0.000, 0.000), Ni at (0.000, 0.500, 0.250) and Se at (0.000, 0.000, 0.500).

Its total moment is 0.00 Bohr magnetons per cell. The value obtained for the relative energy among the computed polymorphs is 93.9 meV/atom. Its raw formation energy is 0.046 eV/atom. The total energy is -37.2 eV for the cell shown.


No. 7
DFT (PBE-GGA) results for crystalline CsBeAs at its relaxed geometry.

The structure belongs to space group Cm (No. 8); the cell edges are 13.556, 3.931 and 11.326 Å and the angles 90.00°, 126.41° and 90.00°. Symmetry generates all atoms from Cs at (0.000, 0.000, 0.000), Cs at (0.002, 0.000, 0.501), Be at (0.219, 0.000, 0.435), Be at (0.285, 0.500, 0.565), As at (0.133, 0.500, 0.323) and As at (0.371, 0.000, 0.677).

Its total moment is 0.00 Bohr magnetons per cell. The total energy is -41.1 eV for the cell shown.


No. 8
DFT (PBE-GGA) results for crystalline Pr2SmHoS5 at its relaxed geometry.

The structure belongs to space group P4/mmm (No. 123); the cell edges are 4.870, 4.870 and 10.421 Å and the angles 90.00°, 90.00° and 90.00°. Symmetry generates all atoms from Pr at (0.000, 0.000, 0.198), Sm at (0.500, 0.500, 0.500), Ho at (0.500, 0.500, 0.000), S at (0.000, 0.000, 0.500), S at (0.000, 0.500, 0.000) and S at (0.500, 0.500, 0.252).

Its total moment is 0.00 Bohr magnetons per cell. Its raw formation energy is -1.494 eV/atom. The total energy is -52.9 eV for the cell shown.


No. 9
DFT (PBE-GGA) results for crystalline Zn2Hg2Pd5Au at its relaxed geometry.

The structure belongs to space group P4/mbm (No. 127); the cell edges are 9.489, 9.489 and 3.805 Å and the angles 90.00°, 90.00° and 90.00°. Symmetry generates all atoms from Zn at (0.129, 0.371, 0.000), Hg at (0.168, 0.668, 0.000), Pd at (0.000, 0.500, 0.500), Pd at (0.090, 0.195, 0.500) and Au at (0.000, 0.000, 0.000).

Its total moment is 0.00 Bohr magnetons per cell. The total energy is -68.6 eV for the cell shown.


No. 10
DFT (PBE-GGA) results for crystalline TcOs2Cl at its relaxed geometry.

The structure belongs to space group P4/mmm (No. 123); the cell edges are 2.810, 2.810 and 7.591 Å and the angles 90.00°, 90.00° and 90.00°. Symmetry generates all atoms from Tc at (0.000, 0.000, 0.000), Os at (0.500, 0.500, 0.238) and Cl at (0.000, 0.000, 0.500).

Its total moment is 0.00 Bohr magnetons per cell. The value obtained for the relative energy among the computed polymorphs is 263.9 meV/atom. Its raw formation energy is 0.708 eV/atom. The total energy is -31.8 eV for the cell shown.


No. 11
DFT (PBE-GGA) results for crystalline CdTcBr2 at its relaxed geometry.

The structure belongs to space group I-4m2 (No. 119); the cell edges are 4.057, 4.057 and 12.317 Å and the angles 90.00°, 90.00° and 90.00°. Symmetry generates all atoms from Cd at (0.000, 0.000, 0.000), Tc at (0.000, 0.500, 0.750), Br at (0.000, 0.000, 0.500) and Br at (0.000, 0.500, 0.250).

Its total moment is 7.42 Bohr magnetons per cell. The value obtained for the relative energy among the computed polymorphs is 582.0 meV/atom. Its raw formation energy is 0.610 eV/atom. The total energy is -24.4 eV for the cell shown.


No. 12
DFT (PBE-GGA) results for crystalline Ce5Pa4 at its relaxed geometry.

The structure belongs to space group I4/mmm (No. 139); the cell edges are 11.874, 11.874 and 3.223 Å and the angles 90.00°, 90.00° and 90.00°. Symmetry generates all atoms from Ce at (0.000, 0.000, 0.000), Ce at (0.166, 0.166, 0.500) and Pa at (0.000, 0.338, 0.000).

Its total moment is 0.00 Bohr magnetons per cell. The total energy is -133.6 eV for the cell shown.